Material: Pu5ThRh6
Method: DFT, PBE
State: relaxed

```
12
Lattice="4.6574 0.0158 -1.3604 -0.9473 6.0960 -3.1743 -0.0696 0.4441 8.4515" Properties=species:S:1:pos:R:3 pbc="T T T"
Rh 2.0967 1.5018 -1.4572
Rh 3.2785 3.8715 2.6300
Pu -0.4737 3.0480 -1.5872
Pu 0.6960 5.3392 2.4609
Rh 0.3619 2.6844 1.2867
Pu 2.9444 1.2167 1.4558
Rh 1.5437 5.0541 5.3740
Pu 1.2022 2.3545 4.1601
Rh 3.7562 0.7971 4.2306
Rh -0.1158 5.7588 -0.3139
Th 0.0000 0.0000 0.0000
Pu 2.4382 4.2014 -0.2433
```

volume: 20.553 A^3/atom
SG: C2/m (12)
energy of formation: -0.481 eV per atom
crystal system: monoclinic

Material: PuThRh
Method: DFT, PBE
State: relaxed

```
12
Lattice="3.7716 0.0000 0.0000 0.0000 5.6346 0.0000 0.0000 0.0000 12.9376" Properties=species:S:1:pos:R:3 pbc="T T T"
Rh 0.9429 1.2472 3.2114
Pu 2.8287 0.0965 7.1545
Rh 2.8287 1.5701 9.6802
Pu 0.9429 2.7208 0.6857
Rh 2.8287 4.3874 9.7262
Th 2.8287 5.4550 1.6736
Th 0.9429 0.1796 11.2640
Pu 0.9429 5.5380 5.7831
Pu 2.8287 2.9138 12.2519
Th 2.8287 2.6377 4.7952
Th 0.9429 2.9969 8.1424
Rh 0.9429 4.0645 3.2574
```

volume: 22.912 A^3/atom
relative energy among the computed polymorphs: 0.116 eV per formula unit
SG: Pnma (62)
energy of formation: -0.326 eV per atom
crystal system: orthorhombic

Material: Pu6ThRh5
Method: DFT, PBE
State: relaxed

```
12
Lattice="5.5745 0.4591 -0.4133 0.4595 5.9377 -0.7634 -0.0080 -0.9340 7.8069" Properties=species:S:1:pos:R:3 pbc="T T T"
Pu 1.6726 1.1877 2.7003
Pu 2.7855 0.8723 7.2916
Pu 1.4613 4.0289 2.0559
Pu 3.2405 4.5905 -0.6614
Rh 1.4242 -0.4543 5.2285
Pu 4.3534 4.2751 3.9299
Th 0.0000 0.0000 0.0000
Rh 4.6018 5.9171 1.4017
Rh 1.6298 2.6434 4.9472
Rh 4.3962 2.8195 1.6830
Pu 4.5646 1.4340 4.5743
Rh 0.2298 2.9689 -0.3817
```

volume: 21.079 A^3/atom
SG: P-1 (2)
energy of formation: -0.313 eV per atom
crystal system: triclinic

Material: PuThRh6
Method: DFT, PBE
State: relaxed

```
8
Lattice="-3.7137 0.1633 -1.7117 -1.6623 -1.3827 3.4746 -0.8755 7.6632 2.6307" Properties=species:S:1:pos:R:3 pbc="T T T"
Rh -2.0863 2.0898 -0.1665
Pu -0.4377 3.8316 1.3154
Rh -2.5029 5.7368 1.0855
Rh -3.1257 3.2219 2.1968
Th 0.0000 0.0000 0.0000
Rh -1.0606 1.3168 2.4267
Rh -2.6880 -0.6097 0.8815
Rh -1.4772 4.9638 3.6787
```

volume: 17.061 A^3/atom
SG: P4/mmm (123)
energy of formation: -0.557 eV per atom
crystal system: tetragonal

Material: Pu2TiRh
Method: DFT, PBE
State: relaxed

```
4
Lattice="3.3067 0.0000 0.0000 0.0000 4.9542 0.0000 0.0000 0.0000 4.9542" Properties=species:S:1:pos:R:3 pbc="T T T"
Ti 1.6533 0.0000 0.0000
Pu 0.0000 2.4771 0.0000
Rh 1.6533 2.4771 2.4771
Pu 0.0000 0.0000 2.4771
```

volume: 20.290 A^3/atom
SG: P4/mmm (123)
energy of formation: -0.058 eV per atom
crystal system: tetragonal

Material: Pu5TlRh4
Method: DFT, PBE
State: relaxed

```
10
Lattice="-0.2490 -1.7372 -2.8987 1.9799 -2.4305 1.2865 -15.1970 -8.8739 6.6233" Properties=species:S:1:pos:R:3 pbc="T T T"
Rh -9.0048 -5.2581 3.9245
Rh -6.1922 -3.6158 2.6987
Pu -1.1311 -3.2497 0.0641
Rh -11.7885 -6.8836 5.1378
Rh -3.4085 -1.9903 1.4855
Pu -12.3349 -9.7919 4.9470
Pu -9.5350 -8.1569 3.7267
Tl 0.0000 0.0000 0.0000
Pu -3.9310 -4.8846 1.2844
Pu -6.7330 -6.5208 2.5055
```

volume: 21.590 A^3/atom
SG: P4/mmm (123)
energy of formation: -0.357 eV per atom
crystal system: tetragonal

Material: Pu2TlRh6
Method: DFT, PBE
State: relaxed

```
9
Lattice="4.4216 0.0000 -0.1723 0.0000 7.4698 0.0000 -2.0157 -3.7349 5.0941" Properties=species:S:1:pos:R:3 pbc="T T T"
Rh 0.0655 2.2501 1.6799
Tl 0.0000 0.0000 0.0000
Rh 2.2108 5.6403 -0.0861
Pu 2.2789 3.7349 1.6630
Rh 0.0655 5.2197 1.6799
Rh 2.3404 -1.4848 3.2419
Rh 2.3404 1.4848 3.2419
Pu 0.1271 0.0000 3.2587
Rh 2.2108 1.8295 -0.0861
```

volume: 18.406 A^3/atom
SG: Immm (71)
energy of formation: 0.160 eV per atom
crystal system: orthorhombic

Material: Pu5TlRh6
Method: DFT, PBE
State: relaxed

```
12
Lattice="-4.6186 0.5863 -1.0168 0.3675 -5.1194 -4.6214 -4.0435 -4.4653 4.6249" Properties=species:S:1:pos:R:3 pbc="T T T"
Rh -3.3702 -4.1135 1.7695
Rh -2.0372 -3.4967 -3.9295
Rh -3.1821 -6.7339 -0.5959
Tl 0.0000 0.0000 0.0000
Rh -4.9243 -4.8849 -2.7828
Pu 0.1838 -2.5597 -2.3107
Rh -2.2138 -1.0365 -1.7087
Rh -5.1125 -2.2645 -0.4173
Pu -5.8000 -2.6553 2.4802
Pu -2.8621 -1.2237 1.1279
Pu -2.7081 -3.8650 -1.0947
Pu -5.5865 -5.1334 0.0815
```

volume: 19.778 A^3/atom
SG: Cmmm (65)
energy of formation: -0.336 eV per atom
crystal system: orthorhombic

Material: Pu3TlRh2
Method: DFT, PBE
State: relaxed

```
6
Lattice="3.3039 0.0000 0.0000 0.0000 3.3039 0.0000 0.0000 0.0000 12.3017" Properties=species:S:1:pos:R:3 pbc="T T T"
Pu 0.0000 0.0000 0.0000
Rh 1.6520 1.6520 10.4801
Rh 1.6520 1.6520 1.8216
Pu 0.0000 0.0000 8.6478
Pu 0.0000 0.0000 3.6540
Tl 1.6520 1.6520 6.1509
```

volume: 22.380 A^3/atom
SG: P4/mmm (123)
energy of formation: -0.259 eV per atom
crystal system: tetragonal

Material: Pu12TlRh6
Method: DFT, PBE
State: relaxed

```
19
Lattice="-4.9667 4.8394 -4.3000 4.5323 -3.9057 -5.5481 -4.8385 -5.7176 3.2366" Properties=species:S:1:pos:R:3 pbc="T T T"
Rh -1.7192 -0.9889 -6.1558
Pu -1.9350 -3.7993 -5.2890
Rh -3.6088 0.7441 -3.6961
Pu -0.9492 -0.5228 -3.5617
Rh 0.4754 -3.0160 -4.2328
Rh -1.6641 -5.5280 -2.9153
Pu -0.9166 -3.2138 -1.6406
Pu -2.6857 1.6637 -6.2011
Pu -4.3564 -1.5701 -4.9709
Pu -6.2857 0.9677 -2.8262
Pu 0.9635 -1.6959 -6.6806
Tl 0.0000 0.0000 0.0000
Rh -5.7484 -1.7679 -2.3787
Pu 1.0128 -5.7516 -3.7852
Pu -6.2365 -3.0880 0.0691
Pu -3.3379 -0.9846 -1.3224
Pu -4.3237 -4.2611 -3.0498
Pu -2.5872 -6.4476 -0.4104
Rh -3.5537 -3.7950 -0.4557
```

volume: 24.839 A^3/atom
SG: R-3m (166)
energy of formation: -0.113 eV per atom
crystal system: trigonal

Material: Pu6Tl3Rh
Method: DFT, PBE
State: relaxed

```
10
Lattice="9.0702 2.2820 1.6120 4.5865 6.9579 1.0502 4.5865 3.3151 6.2069" Properties=species:S:1:pos:R:3 pbc="T T T"
Pu 10.8274 8.4292 4.0541
Pu 7.4156 4.1258 4.8150
Rh 9.1215 6.2775 4.4346
Pu 7.3218 8.0350 5.6761
Tl 13.9768 8.6138 6.0850
Tl 0.0000 0.0000 0.0000
Tl 4.2663 3.9412 2.7841
Pu 10.8274 6.6380 6.5897
Pu 7.4156 5.9170 2.2794
Pu 10.9213 4.5201 3.1931
```

volume: 27.923 A^3/atom
SG: C2/m (12)
energy of formation: 0.105 eV per atom
crystal system: monoclinic

Material: Pu12TlRh7
Method: DFT, PBE
State: relaxed

```
20
Lattice="8.8495 0.0000 0.0000 -2.9498 8.3434 0.0000 -2.9498 -4.1717 7.2256" Properties=species:S:1:pos:R:3 pbc="T T T"
Pu -2.2103 -0.7632 5.8615
Rh -1.4749 4.1717 0.0000
Rh -1.4749 -2.0858 3.6128
Pu -0.7395 2.8855 2.2698
Pu -2.9326 4.4363 4.9558
Rh 2.9498 4.1717 0.0000
Pu 0.7395 -0.5229 3.6338
Pu 5.1601 4.9349 1.3640
Pu 2.9326 -2.0737 6.3198
Rh -2.9498 2.0858 3.6128
Pu 2.9670 1.8334 1.3640
Rh 1.4749 2.0858 3.6128
Pu -0.0172 2.3383 5.8615
Pu 5.8825 -0.2646 2.2698
Pu 2.2103 4.6946 3.5917
Rh 4.4247 0.0000 0.0000
Rh 2.9498 -2.0858 3.6128
Tl 0.0000 0.0000 0.0000
Pu 0.0172 6.2454 0.9057
Pu 3.6893 1.2862 4.9558
```

volume: 26.675 A^3/atom
SG: Im-3 (204)
energy of formation: -0.095 eV per atom
crystal system: cubic

Material: PuTlRh4
Method: DFT, PBE
State: relaxed

```
6
Lattice="5.3146 0.0000 0.0000 2.6573 4.6026 0.0000 2.6573 1.5342 4.3393" Properties=species:S:1:pos:R:3 pbc="T T T"
Rh 6.6490 3.8388 2.7144
Pu 2.6573 1.5342 1.0848
Rh 5.3146 1.5275 2.7144
Rh 5.3146 3.0684 0.5353
Tl 0.0000 0.0000 0.0000
Rh 3.9802 3.8388 2.7144
```

volume: 17.690 A^3/atom
SG: F-43m (216)
energy of formation: -0.236 eV per atom
crystal system: cubic

Material: Pu6TlRh2
Method: DFT, PBE
State: relaxed

```
9
Lattice="5.4679 0.0000 0.0000 0.0000 5.4679 0.0000 0.0000 0.0000 8.0103" Properties=species:S:1:pos:R:3 pbc="T T T"
Pu 2.7340 2.7340 4.0051
Pu 2.7340 0.0000 1.7903
Pu 0.0000 2.7340 1.7903
Rh 2.7340 2.7340 6.6984
Pu 0.0000 0.0000 4.0051
Tl 0.0000 0.0000 0.0000
Rh 2.7340 2.7340 1.3119
Pu 0.0000 2.7340 6.2200
Pu 2.7340 0.0000 6.2200
```

volume: 26.610 A^3/atom
SG: P4/mmm (123)
energy of formation: 0.044 eV per atom
crystal system: tetragonal

Material: TmPuTlRh
Method: DFT, PBE
State: relaxed

```
4
Lattice="-3.4205 -2.1586 3.1093 -2.3689 -4.2952 -1.4025 1.0977 -4.3990 2.3391" Properties=species:S:1:pos:R:3 pbc="T T T"
Tm -1.1729 -2.7132 1.0115
Pu -3.5188 -8.1395 3.0344
Tl -2.3459 -5.4264 2.0229
Rh 0.0000 0.0000 0.0000
```

volume: 23.473 A^3/atom
relative energy among the computed polymorphs: 0.761 eV per formula unit
SG: F-43m (216)
energy of formation: -0.250 eV per atom
crystal system: cubic

Material: TmPuTlRh
Method: DFT, PBE
State: relaxed

```
4
Lattice="3.3597 0.0000 0.0000 0.0000 3.3597 0.0000 0.0000 0.0000 8.2908" Properties=species:S:1:pos:R:3 pbc="T T T"
Tl 0.0000 0.0000 0.5302
Rh 0.0000 0.0000 4.8504
Pu 1.6799 1.6799 2.9674
Tm 1.6799 1.6799 6.4486
```

volume: 23.396 A^3/atom
relative energy among the computed polymorphs: 0.000 eV per formula unit
SG: P4mm (99)
energy of formation: -0.440 eV per atom
crystal system: tetragonal

Material: Tm2PuRh3
Method: DFT, PBE
State: relaxed

```
6
Lattice="3.3662 0.0000 0.0000 0.0000 3.3662 0.0000 0.0000 0.0000 10.3720" Properties=species:S:1:pos:R:3 pbc="T T T"
Rh 0.0000 0.0000 6.9975
Tm 1.6831 1.6831 8.6701
Tm 1.6831 1.6831 1.7019
Rh 0.0000 0.0000 3.3745
Rh 0.0000 0.0000 0.0000
Pu 1.6831 1.6831 5.1860
```

volume: 19.588 A^3/atom
SG: P4/mmm (123)
energy of formation: -0.761 eV per atom
crystal system: tetragonal

Material: Tm2PuRh
Method: DFT, PBE
State: relaxed

```
4
Lattice="3.6394 0.0000 0.0000 1.8197 3.1518 0.0000 1.8197 1.0506 9.3416" Properties=species:S:1:pos:R:3 pbc="T T T"
Tm 1.8197 1.0506 1.7221
Tm 5.4591 3.1518 7.6195
Rh 0.0000 0.0000 0.0000
Pu 3.6394 2.1012 4.6708
```

volume: 26.789 A^3/atom
relative energy among the computed polymorphs: 0.622 eV per formula unit
SG: R-3m (166)
energy of formation: -0.245 eV per atom
crystal system: trigonal

Material: Tm2PuRh
Method: DFT, PBE
State: relaxed

```
4
Lattice="-0.5542 2.8035 1.7950 -2.6369 -1.4804 1.4979 5.1541 -2.9339 6.1735" Properties=species:S:1:pos:R:3 pbc="T T T"
Pu 0.9815 -0.8054 4.7332
Tm 1.0016 -0.5701 1.1997
Rh -1.5955 0.6615 1.6465
Tm 4.1525 -2.3638 4.9738
```

volume: 24.373 A^3/atom
relative energy among the computed polymorphs: 0.000 eV per formula unit
SG: P4/mmm (123)
energy of formation: -0.400 eV per atom
crystal system: tetragonal

Material: TmPu5Rh6
Method: DFT, PBE
State: relaxed

```
12
Lattice="-2.8212 -3.8312 0.8375 2.5063 -3.0731 -5.6154 3.8296 -4.9054 4.3937" Properties=species:S:1:pos:R:3 pbc="T T T"
Pu 1.2531 -1.5366 -2.8077
Rh -0.4852 -5.5682 0.7606
Rh 3.9999 -6.2415 -1.1448
Rh -0.7946 -2.6709 -0.9614
Rh 0.4797 -4.2334 -3.8166
Pu 1.5942 -4.4516 -1.0602
Tm 0.0000 0.0000 0.0000
Rh 2.7265 -4.6802 1.7081
Pu 0.3332 -2.9106 1.7415
Rh 0.7881 -7.1295 -2.0923
Pu 0.6752 -5.8261 3.4897
Pu 1.9204 -7.3581 0.6760
```

volume: 19.995 A^3/atom
SG: Cmmm (65)
energy of formation: -0.463 eV per atom
crystal system: orthorhombic